Pu2Pa13 | the Alexandria database | GGA-PBE | optimized geometry; energy of formation from the pure elements = 2.2 kJ per mole of atoms
1.0
-1.073 5.473 1.094
-5.619 1.694 -4.319
-0.940 -6.970 9.474
Pu Pa
2 13
Cartesian
-5.082 0.117 4.184 Pu
-2.550 0.080 2.065 Pu
-2.048 0.518 5.261 Pa
-5.584 -0.321 0.987 Pa
0.000 0.000 0.000 Pa
-6.055 -2.798 3.064 Pa
-1.577 2.996 3.184 Pa
-3.507 -4.881 6.261 Pa
-4.125 5.079 -0.012 Pa
-4.599 2.597 2.099 Pa
-3.033 -2.400 4.150 Pa
-5.571 -2.345 6.252 Pa
-2.061 2.543 -0.004 Pa
-2.506 -1.946 7.372 Pa
-5.126 2.144 -1.123 Pa



La5Pr3In | the Alexandria database | GGA-PBE | optimized geometry; energy of formation from the pure elements = 25.1 kJ per mole of atoms
1.0
7.500 -1.794 -0.663
0.327 7.705 -0.663
1.724 1.302 11.605
La Pr In
10 6 2
Cartesian
7.761 2.259 2.714 La
2.171 5.263 -0.663 La
5.389 4.069 -0.791 La
4.275 3.228 2.133 La
5.276 3.984 8.146 La
4.162 3.143 11.070 La
4.297 6.846 2.714 La
5.656 0.647 -0.663 La
1.790 4.953 7.564 La
5.254 0.366 7.564 La
7.753 5.854 7.820 Pr
6.145 4.640 5.010 Pr
0.000 0.000 0.000 Pr
0.862 0.651 5.802 Pr
1.798 1.358 2.459 Pr
3.406 2.572 5.269 Pr
2.452 1.851 8.444 In
7.099 5.361 1.835 In



ScCrTc2As | the Alexandria database | GGA-PBE | optimized geometry; energy of formation from the pure elements = 51.1 kJ per mole of atoms
1.0
-3.623 -2.348 -1.598
0.976 -3.370 2.739
-2.654 1.879 3.258
Sc Cr As Tc
1 1 1 2
Cartesian
-2.651 -1.919 2.199 Sc
0.488 -1.685 1.369 Cr
0.000 0.000 0.000 As
-1.327 0.940 1.629 Tc
-1.811 -1.174 -0.799 Tc



Na3Tb3TiO8 | the Alexandria database | GGA-PBE | optimized geometry; energy relative to the elements, uncorrected = -2.83 eV/atom
1.0
-4.497 2.834 4.091
-1.198 -6.058 -2.618
4.776 0.715 4.754
Na Tb Ti O
3 3 1 8
Cartesian
0.000 0.000 0.000 Na
-0.599 -3.029 -1.309 Na
-2.847 -1.612 0.736 Na
0.140 1.775 4.422 Tb
-0.459 -1.254 3.113 Tb
1.789 -2.671 1.068 Tb
2.388 0.358 2.377 Ti
-0.437 -2.230 1.065 O
-0.482 -0.278 5.161 O
-2.766 -1.028 3.171 O
1.847 -1.480 3.055 O
-2.100 2.336 4.625 O
1.182 -4.844 1.602 O
0.396 0.762 2.353 O
-1.315 -3.270 3.873 O



Zr3TaS | the Alexandria database | GGA-PBE | optimized geometry; excess energy over the best structure of this formula in the dataset = 1244 meV/atom; energy relative to the elements, uncorrected = 1.01 eV/atom
1.0
-4.665 1.713 1.294
-1.806 -4.805 -0.149
1.161 -0.590 4.967
S Zr Ta
1 3 1
Cartesian
-2.655 -1.841 3.056 S
-0.903 -2.402 -0.074 Zr
0.580 -0.295 2.484 Zr
-2.332 0.857 0.647 Zr
0.000 0.000 0.000 Ta



Nd3Er2Th | the Alexandria database | GGA-PBE | optimized geometry; excess energy over the best structure of this formula in the dataset = 219 meV/atom; energy of formation from the pure elements = 43.1 kJ per mole of atoms
1.0
0.627 0.369 -6.670
11.039 -3.118 0.866
-7.423 -4.386 2.434
Nd Er Th
6 4 2
Cartesian
5.990 -1.282 -4.569 Nd
5.676 -1.467 -1.234 Nd
-1.454 -2.012 -3.622 Nd
0.387 -2.804 -0.119 Nd
3.856 -4.331 -3.251 Nd
5.696 -5.123 0.253 Nd
1.582 -5.923 -0.178 Er
2.661 -1.212 -3.191 Er
8.316 -3.082 0.612 Er
-4.073 -4.053 -3.982 Er
0.157 0.092 -1.667 Th
0.471 0.276 -5.002 Th